First-principles (GGA-PBE) data for a relaxed structure of PrTm2In3Te6, as listed in the Alexandria database.

Cell lengths 7.6833, 7.6833, 8.5061 Å; angles 98.67, 98.67, 119.96 degrees
With the nearest neighbours (Å) after each atom.
Fractional positions:
Pr1 0.0000 0.0000 0.0000  6 Te 3.19-3.20
Tm1 0.3328 0.6672 0.0000  6 Te 3.07-3.09
Tm2 0.6672 0.3328 0.0000  6 Te 3.07-3.09
In1 0.1629 0.8371 0.5000  6 Te 3.38-3.46
In2 0.5000 0.5000 0.5000  6 Te 3.37-3.45
In3 0.8371 0.1629 0.5000  6 Te 3.38-3.46
Te1 0.0738 0.4194 0.2209  2 Tm 3.08-3.09, 1 Pr 3.20, 1 In 3.38
Te2 0.2736 0.2736 0.7830  2 Tm 3.07, 1 Pr 3.19, 1 In 3.37
Te3 0.4194 0.0738 0.2209  2 Tm 3.08-3.09, 1 Pr 3.20, 1 In 3.38
Te4 0.5806 0.9262 0.7791  2 Tm 3.08-3.09, 1 Pr 3.20, 1 In 3.38
Te5 0.7264 0.7264 0.2170  2 Tm 3.07, 1 Pr 3.19, 1 In 3.37
Te6 0.9262 0.5806 0.7791  2 Tm 3.08-3.09, 1 Pr 3.20, 1 In 3.38

Computed properties:
For the total energy, the calculation gives -52.3 eV/cell. As for the uncorrected formation energy: -1108 kJ/mol of formula units. The space group is C2/m, No. 12.